Density functional theory data (PBE) for AcInPt after structural relaxation.

Results
Crystal system: cubic
SG: F-43m, No. 216
ΔE to the lowest computed polymorph, meV/atom: 828.0
Calculated volume, Å³ per cell: 97.34

Lattice parameters (Å, degrees): 5.1635 5.1635 5.1635 60.00 60.00 60.00
Atoms (fractional coordinates):
Ac (0.0000, 0.0000, 0.0000)
In (0.7500, 0.7500, 0.7500)
Pt (0.2500, 0.2500, 0.2500)